Entry from Alexandria: crystalline KPu2IrO8 at its relaxed geometry (PBE-GGA).

Unit cell a=5.6438 b=5.6438 c=6.9938 alpha=90.00 beta=90.00 gamma=120.00
Space group P-3 (No. 147)
Asymmetric unit:
K 0.0000 0.0000 0.0000 [1 per cell]
Pu 0.3333 0.6667 0.5983 [2 per cell]
Ir 0.0000 0.0000 0.5000 [1 per cell]
O 0.0748 0.7230 0.3677 [6 per cell]
O 0.3333 0.6667 0.8641 [2 per cell]

Results
raw total energy: -100.7 eV per formula unit
total magnetization: 3.994 μB/cell
volume: 16.08 Å³ per atom